Here is YV2O2 after structural relaxation from Alexandria via LeMat-Bulk. Energies are from PBE+U.

Results
Its energy above the most stable polymorph in this dataset is 546.6 meV/atom. Its density of states at the Fermi level is 0.401 states/eV/atom. The total energy is -6.894 eV per atom.

Unit cell a=3.3884 b=3.3884 c=11.0005 alpha=90.00 beta=90.00 gamma=90.00
Last column: nearest neighbours and their distance in Å.
Space group I4/mmm (No. 139)
Unique sites:
Y: 0.0000 0.0000 0.0000 x2  8 O 2.74
V: 0.0000 0.5000 0.2500 x4  4 O 2.21, 4 V 2.40
O: 0.0000 0.0000 0.3792 x4  4 V 2.21